Entry from Alexandria via LeMat-Bulk: crystalline Tb8Dy5Mg at its relaxed geometry (PBE).

```
Tb8Dy5Mg
1.0
-5.9607 -3.8964 -4.4780
4.4942 -5.5843 4.4026
-3.8484 5.4082 5.1678
Dy Mg Tb
5 1 8
Cartesian
-4.9045 0.7559 0.3449 Dy
-1.8756 -7.4171 0.9906 Dy
-4.5162 -3.1700 3.0651 Dy
-4.9987 3.5850 4.2114 Dy
0.7608 -1.1428 1.9176 Dy
-2.1293 0.2899 4.9576 Mg
-7.6477 -0.5786 -0.3563 Tb
2.0225 -4.3197 2.8448 Tb
1.0042 -1.8745 5.3618 Tb
-1.4123 -3.9874 1.6828 Tb
-2.5047 -2.7483 5.7888 Tb
-2.4998 -0.4984 1.9074 Tb
-4.5380 -2.4724 -0.3947 Tb
-5.6836 0.1894 3.5348 Tb
```

## Properties
- space group = I-4, No. 82
- total energy (eV per atom) = -4.1678
- Fermi-level density of states (states/eV per cell) = 19.21
- formation enthalpy at 0 K (eV/atom) = 0.2355



Entry from Alexandria via LeMat-Bulk: crystalline TbGdCdGe at its relaxed geometry (PBE).

```
TbGdCdGe
1.0
5.1843 0.0000 0.0000
2.5921 4.4897 0.0000
2.5921 1.4966 4.2329
Tb Cd Ge Gd
1 1 1 1
Cartesian
0.0000 0.0000 0.0000 Tb
7.7764 4.4897 3.1747 Cd
2.5921 1.4966 1.0582 Ge
5.1843 2.9931 2.1165 Gd
```

## Properties
- space group = F-43m, No. 216
- total energy (eV per atom) = -6.5437
- Fermi-level density of states (states/eV per cell) = 3.69
- formation enthalpy at 0 K (eV/atom) = -0.4828



Entry from Alexandria via LeMat-Bulk: crystalline Mg3TaAg at its relaxed geometry (PBE).

```
Mg3TaAg
1.0
4.8925 0.0000 0.0000
0.0000 4.8925 0.0000
0.0000 0.0000 4.8925
Mg Ta Ag
3 1 1
Cartesian
0.0000 2.4462 0.0000 Mg
2.4462 0.0000 0.0000 Mg
0.0000 0.0000 2.4462 Mg
2.4462 2.4462 2.4462 Ta
0.0000 0.0000 0.0000 Ag
```

## Properties
- space group = Pm-3m, No. 221
- total energy (eV per atom) = -2.9754
- excess energy over the best structure of this formula in the dataset (eV per atom) = 0.0000
- Fermi-level density of states (states/eV per cell) = 3.02
- formation enthalpy at 0 K (eV/atom) = 0.9221



Entry from Alexandria via LeMat-Bulk: crystalline FePRh2 at its relaxed geometry (PBE).

```
FePRh2
1.0
-0.8040 1.8462 -2.0369
-1.7093 -2.8165 -1.8781
-4.2676 0.9142 2.5131
Fe Rh P
1 2 1
Cartesian
-1.9840 0.4250 1.1683 Fe
-4.0622 0.8702 2.3921 Rh
-2.4897 -0.2210 -1.2314 Rh
-4.6465 0.2410 0.0386 P
```

## Properties
- space group = Pmm2, No. 25
- total energy (eV per atom) = -7.2806
- Fermi-level density of states (states/eV per cell) = 3.20
- formation enthalpy at 0 K (eV/atom) = -0.1367